Below is a geometry-optimized RbNb2F11 structure, with properties calculated at the GGA-PBE level.

a b c (Å): 9.088 9.088 9.088
angles (deg): 124.91 107.41 97.38
Sites, in units of the cell vectors:
1 Rb 0.250 0.250 0.000
2 Rb 0.750 0.750 0.000
3 Nb 0.180 0.605 0.784
4 Nb 0.320 0.105 0.425
5 Nb 0.680 0.895 0.575
6 Nb 0.820 0.395 0.216
7 F 0.000 0.500 0.500
8 F 0.014 0.381 0.172
9 F 0.081 0.996 0.296
10 F 0.199 0.496 0.915
11 F 0.204 0.376 0.580
12 F 0.209 0.842 0.828
13 F 0.291 0.119 0.633
14 F 0.296 0.876 0.173
15 F 0.301 0.215 0.296
16 F 0.419 0.715 0.915
17 F 0.486 0.658 0.367
18 F 0.500 0.000 0.500
19 F 0.514 0.342 0.633
20 F 0.581 0.285 0.085
21 F 0.699 0.785 0.704
22 F 0.704 0.124 0.827
23 F 0.709 0.881 0.367
24 F 0.791 0.158 0.172
25 F 0.796 0.624 0.420
26 F 0.801 0.504 0.085
27 F 0.919 0.004 0.704
28 F 0.986 0.619 0.828

Calculated values
SG: No. 72
Fermi-level density of states in states/eV per atom: 0.00
Formation energy from raw total energies in eV/atom: -3.031